# Tm6SiSb3

Tm6SiSb3 after structural relaxation (PBE, the Alexandria database).

Lattice parameters (Å, degrees): 6.9408 8.0988 12.0786 90.00 124.59 90.00
Last column: nearest neighbours and their distance in Å.
Atoms (fractional coordinates):
Tm 0.0516 0.0645 0.2404  1 Si 2.77, 3 Sb 2.95-3.09
Tm 0.0516 0.4355 0.7404  1 Si 2.77, 3 Sb 2.95-3.09
Tm 0.1994 0.6886 0.0594  1 Si 2.77, 1 Sb 2.98
Tm 0.1994 0.8114 0.5594  1 Si 2.77, 1 Sb 2.98
Tm 0.3976 0.1653 0.0572  1 Si 2.78, 2 Sb 2.98-3.11
Tm 0.3976 0.3347 0.5572  1 Si 2.78, 2 Sb 2.98-3.11
Tm 0.6024 0.6653 0.4428  1 Si 2.78, 2 Sb 2.98-3.11
Tm 0.6024 0.8347 0.9428  1 Si 2.78, 2 Sb 2.98-3.11
Tm 0.8006 0.1886 0.4406  1 Si 2.77, 1 Sb 2.98
Tm 0.8006 0.3114 0.9406  1 Si 2.77, 1 Sb 2.98
Tm 0.9484 0.5645 0.2596  1 Si 2.77, 3 Sb 2.95-3.09
Tm 0.9484 0.9355 0.7596  1 Si 2.77, 3 Sb 2.95-3.09
Si 0.0000 0.0000 0.0000  6 Tm 2.77-2.78
Si 0.0000 0.5000 0.5000  6 Tm 2.77-2.78
Sb 0.3101 0.1213 0.7465  6 Tm 3.01-3.22
Sb 0.3101 0.3787 0.2465  6 Tm 3.01-3.22
Sb 0.5000 0.0000 0.5000  6 Tm 2.95-2.98
Sb 0.5000 0.5000 0.0000  6 Tm 2.95-2.98
Sb 0.6899 0.6213 0.7535  6 Tm 3.01-3.22
Sb 0.6899 0.8787 0.2535  6 Tm 3.01-3.22

## Properties
DOS at the Fermi energy	0.668	states/eV per atom
spin magnetization	0.00	μB per atom
V	559.0	Å³ per cell
formation energy (no corrections)	-0.71	eV/atom
uncorrected energy	-5.174	eV/atom
symmetry	P2_1/c, No. 14